No. 1
A relaxed structure of Cs2Tl2Ru, computed with PBE.

Structure (POSCAR):
```
Cs2Tl2Ru
1.0
7.5630 0.0000 0.0000
0.0000 7.5630 0.0000
0.0000 0.0000 6.6910
Cs Tl Ru
4 4 2
Cartesian
1.3162 2.4653 0.0000
2.4653 6.2468 0.0000
5.0977 1.3162 0.0000
6.2468 5.0977 0.0000
1.5249 5.3064 3.3455
2.2566 1.5249 3.3455
5.3064 6.0381 3.3455
6.0381 2.2566 3.3455
0.0000 0.0000 3.3455
3.7815 3.7815 3.3455
```

Computed properties:
- Volume: 383 Å³/cell
- Energy of formation from the pure elements: 0.43 eV per atom
- Space group: P4/mbm
- Uncorrected energy: -2.711 eV per atom



No. 2
A relaxed structure of AcLaSmTm, computed with PBE.

Structure (POSCAR):
```
AcLaSmTm
1.0
0.0000 4.1933 4.1933
4.1933 0.0000 4.1933
4.1933 4.1933 0.0000
Ac La Sm Tm
1 1 1 1
Cartesian
0.0000 0.0000 0.0000
2.0967 2.0967 2.0967
6.2900 6.2900 6.2900
4.1933 4.1933 4.1933
```

Computed properties:
- Volume: 147 Å³/cell
- Energy of formation from the pure elements: 0.17 eV per atom
- Energy above the lowest structure with this stoichiometry: 102 meV/atom
- Space group: F-43m
- Uncorrected energy: -4.384 eV per atom



No. 3
A relaxed structure of Ac3AgSn2, computed with PBE.

Structure (POSCAR):
```
Ac3AgSn2
1.0
13.2187 0.0000 0.0000
0.0000 4.8586 0.0000
0.0000 0.0000 13.0119
Ac Ag Sn
12 4 8
Cartesian
0.6824 1.2147 1.6597
1.6865 3.6440 7.2960
2.8547 1.2147 10.4431
3.7546 3.6440 3.9372
4.9229 1.2147 0.7901
5.9270 3.6440 8.1657
7.2917 1.2147 4.8462
8.2958 3.6440 12.2218
9.4641 1.2147 9.0747
10.3640 3.6440 2.5688
11.5322 1.2147 5.7159
12.5363 3.6440 11.3522
1.6871 1.2147 4.8539
4.9222 3.6440 11.3598
8.2965 1.2147 1.6521
11.5316 3.6440 8.1580
0.1933 3.6440 4.1199
2.4723 3.6440 0.0198
4.1371 1.2147 6.5258
6.4160 1.2147 10.6259
6.8027 3.6440 2.3860
9.0816 3.6440 6.4861
10.7464 1.2147 12.9921
13.0253 1.2147 8.8919
```

Computed properties:
- Volume: 836 Å³/cell
- Energy of formation from the pure elements: -0.59 eV per atom
- Energy above the lowest structure with this stoichiometry: 0 meV/atom
- Space group: Pnma
- Uncorrected energy: -4.451 eV per atom



No. 4
A relaxed structure of Nd5Sm4Er, computed with PBE.

Structure (POSCAR):
```
Nd5Sm4Er
1.0
3.6424 0.0000 0.0000
-1.8096 9.4504 0.0000
-0.0202 -2.8169 9.9342
Nd Sm Er
5 4 1
Cartesian
0.0000 0.0000 0.0000
0.0028 3.4969 0.9931
-0.0058 5.6160 6.9216
1.8184 1.0176 3.0127
1.8098 3.1367 8.9411
-0.0065 2.0822 5.9597
0.0054 6.9941 2.0262
1.8072 -0.3605 7.9080
1.8191 4.5514 3.9745
-0.0101 -1.4084 4.9671
```

Computed properties:
- Volume: 342 Å³/cell
- Energy of formation from the pure elements: 0.01 eV per atom
- Energy above the lowest structure with this stoichiometry: 0 meV/atom
- Space group: P-1
- Uncorrected energy: -4.713 eV per atom



| no. | N(E_F) (states/eV/f.u.) |
| --- | --- |
| 1 | 3.89 |
| 2 | 9.75 |
| 3 | 5.34 |
| 4 | 14.02 |